Entry 1:
{"formula": "SrSbP2O8", "functional": "PBE", "state": "relaxed", "lattice": [[6.6051, 0.0000, 0.0000], [-1.4360, 6.5481, 0.0000], [-3.2036, -1.9238, 8.4675]], "species": ["Sr", "Sr", "Sb", "Sb", "P", "P", "P", "P", "O", "O", "O", "O", "O", "O", "O", "O", "O", "O", "O", "O", "O", "O", "O", "O"], "frac_coords": [[0.2013, 0.3044, 0.0105], [0.7987, 0.6956, 0.9895], [0.1608, 0.8728, 0.5354], [0.8392, 0.1272, 0.4646], [0.2163, 0.5808, 0.7144], [0.3221, 0.8644, 0.2285], [0.6779, 0.1356, 0.7715], [0.7837, 0.4192, 0.2856], [0.0537, 0.7278, 0.6959], [0.0854, 0.3434, 0.6571], [0.2067, 0.6300, 0.1704], [0.2210, 0.9811, 0.1037], [0.2904, 0.9624, 0.3826], [0.3280, 0.6534, 0.5955], [0.3784, 0.6044, 0.8814], [0.4134, 0.0934, 0.7195], [0.5866, 0.9066, 0.2805], [0.6216, 0.3956, 0.1186], [0.6720, 0.3466, 0.4045], [0.7096, 0.0376, 0.6174], [0.7790, 0.0189, 0.8963], [0.7933, 0.3700, 0.8296], [0.9146, 0.6566, 0.3429], [0.9463, 0.2722, 0.3041]], "mass_density_g_cm3": 3.6, "sg": "No. 2", "de_polymorph_mev_per_atom": 0, "energy_ev_per_cell": -164.613, "e_form_raw_ev_per_atom": -2.168}



Entry 2:
{"formula": "TaSbPO2", "functional": "PBE", "state": "relaxed", "lattice": [[3.9412, 0.0000, 0.0000], [0.0000, 3.9412, 0.0000], [0.0000, 0.0000, 5.3892]], "species": ["Ta", "Sb", "P", "O", "O"], "frac_coords": [[0.0000, 0.0000, 0.0000], [0.5000, 0.5000, 0.5000], [0.0000, 0.0000, 0.5000], [0.0000, 0.5000, 0.0000], [0.5000, 0.0000, 0.0000]], "mass_density_g_cm3": 7.3, "sg": "No. 123", "de_polymorph_mev_per_atom": 0, "energy_ev_per_cell": -37.587, "e_form_raw_ev_per_atom": -1.257}



Entry 3:
{"formula": "TaSbPO2", "functional": "PBE", "state": "relaxed", "lattice": [[3.8945, 0.0000, 0.0000], [0.0000, 3.8945, 0.0000], [0.0000, 0.0000, 5.5256]], "species": ["Ta", "Sb", "P", "O", "O"], "frac_coords": [[0.0000, 0.0000, 0.0000], [0.5000, 0.5000, 0.5000], [0.5000, 0.5000, 0.0000], [0.0000, 0.5000, 0.5000], [0.5000, 0.0000, 0.5000]], "mass_density_g_cm3": 7.2, "sg": "No. 123", "de_polymorph_mev_per_atom": 1296, "energy_ev_per_cell": -31.107, "e_form_raw_ev_per_atom": 0.039}